Entry 1:
# PBE PaSiH, relaxed
data_PaSiH
_chemical_formula_sum 'Pa2 Si2 H2'
_cell_length_a 3.911
_cell_length_b 3.911
_cell_length_c 7.442
_cell_angle_alpha 74.82
_cell_angle_beta 74.82
_cell_angle_gamma 59.99
_space_group_name_H-M_alt 'P 1'
_space_group_IT_number 1
loop_
_space_group_symop_operation_xyz
'x,y,z'
loop_
_atom_site_label
_atom_site_type_symbol
_atom_site_fract_x
_atom_site_fract_y
_atom_site_fract_z
_atom_site_occupancy
Pa1 Pa 0.909 0.909 0.775 1
Pa2 Pa 0.091 0.091 0.225 1
Si1 Si 0.664 0.664 0.508 1
Si2 Si 0.336 0.336 0.492 1
H1 H 0.799 0.799 0.101 1
H2 H 0.201 0.201 0.899 1
# * E above lowest polymorph: 187.1 meV/atom
# * Fermi-level density of states: 2.49 states/eV/f.u.

---

Entry 2:
# PBE PaSiH, relaxed
data_PaSiH
_chemical_formula_sum 'Pa1 Si1 H1'
_cell_length_a 3.146
_cell_length_b 5.432
_cell_length_c 3.146
_cell_angle_alpha 73.17
_cell_angle_beta 90.00
_cell_angle_gamma 106.83
_space_group_name_H-M_alt 'P 1'
_space_group_IT_number 1
loop_
_space_group_symop_operation_xyz
'x,y,z'
loop_
_atom_site_label
_atom_site_type_symbol
_atom_site_fract_x
_atom_site_fract_y
_atom_site_fract_z
_atom_site_occupancy
H1 H 0.764 0.528 0.236 1
Si1 Si 0.043 0.087 0.957 1
Pa1 Pa 0.343 0.685 0.657 1
# * E above lowest polymorph: 602.4 meV/atom
# * Fermi-level density of states: 3.48 states/eV/f.u.

---

Entry 3:
# PBE PaSiH, relaxed
data_PaSiH
_chemical_formula_sum 'Pa1 Si1 H1'
_cell_length_a 3.774
_cell_length_b 3.908
_cell_length_c 3.908
_cell_angle_alpha 120.00
_cell_angle_beta 90.00
_cell_angle_gamma 90.00
_space_group_name_H-M_alt 'P 1'
_space_group_IT_number 1
loop_
_space_group_symop_operation_xyz
'x,y,z'
loop_
_atom_site_label
_atom_site_type_symbol
_atom_site_fract_x
_atom_site_fract_y
_atom_site_fract_z
_atom_site_occupancy
H1 H 0.167 0.667 0.333 1
Si1 Si 0.667 0.333 0.667 1
Pa1 Pa 0.167 0.000 0.000 1
# * E above lowest polymorph: 216.1 meV/atom
# * Fermi-level density of states: 0.96 states/eV/f.u.

---

Entry 4:
# PBE Pa2SiH, relaxed
data_Pa2SiH
_chemical_formula_sum 'Pa4 Si2 H2'
_cell_length_a 3.088
_cell_length_b 6.669
_cell_length_c 7.041
_cell_angle_alpha 90.00
_cell_angle_beta 90.00
_cell_angle_gamma 103.39
_space_group_name_H-M_alt 'P 1'
_space_group_IT_number 1
loop_
_space_group_symop_operation_xyz
'x,y,z'
loop_
_atom_site_label
_atom_site_type_symbol
_atom_site_fract_x
_atom_site_fract_y
_atom_site_fract_z
_atom_site_occupancy
Pa1 Pa 0.363 0.725 0.505 1
Pa2 Pa 0.637 0.275 0.495 1
Pa3 Pa 0.637 0.275 0.005 1
Pa4 Pa 0.363 0.725 0.995 1
Si1 Si 0.996 0.992 0.250 1
Si2 Si 0.004 0.008 0.750 1
H1 H 0.224 0.449 0.250 1
H2 H 0.776 0.551 0.750 1
# * E above lowest polymorph: 0.0 meV/atom
# * Fermi-level density of states: 5.91 states/eV/f.u.

---

Entry 5:
# PBE Pa5Si2H, relaxed
data_Pa5Si2H
_chemical_formula_sum 'Pa5 Si2 H1'
_cell_length_a 6.460
_cell_length_b 6.460
_cell_length_c 6.076
_cell_angle_alpha 122.21
_cell_angle_beta 122.21
_cell_angle_gamma 89.93
_space_group_name_H-M_alt 'P 1'
_space_group_IT_number 1
loop_
_space_group_symop_operation_xyz
'x,y,z'
loop_
_atom_site_label
_atom_site_type_symbol
_atom_site_fract_x
_atom_site_fract_y
_atom_site_fract_z
_atom_site_occupancy
Pa1 Pa 0.732 0.256 0.988 1
Pa2 Pa 0.256 0.256 0.988 1
Pa3 Pa 0.732 0.732 0.988 1
Pa4 Pa 0.256 0.732 0.988 1
Pa5 Pa 0.767 0.767 0.535 1
Si1 Si 0.245 0.744 0.489 1
Si2 Si 0.744 0.245 0.489 1
H1 H 0.044 0.044 0.088 1
# * E: -63.07 eV for the cell shown
# * Fermi-level density of states: 14.39 states/eV/f.u.

---

Entry 6:
# PBE Pa2Si2Tc2H, relaxed
data_Pa2Si2Tc2H
_chemical_formula_sum 'Pa2 Si2 Tc2 H1'
_cell_length_a 4.350
_cell_length_b 5.806
_cell_length_c 5.444
_cell_angle_alpha 70.55
_cell_angle_beta 66.45
_cell_angle_gamma 68.00
_space_group_name_H-M_alt 'P 1'
_space_group_IT_number 1
loop_
_space_group_symop_operation_xyz
'x,y,z'
loop_
_atom_site_label
_atom_site_type_symbol
_atom_site_fract_x
_atom_site_fract_y
_atom_site_fract_z
_atom_site_occupancy
Pa1 Pa 0.553 0.172 0.721 1
Pa2 Pa 0.447 0.828 0.279 1
Si1 Si 0.152 0.389 0.307 1
Si2 Si 0.848 0.611 0.693 1
Tc1 Tc 0.218 0.704 0.860 1
Tc2 Tc 0.782 0.296 0.140 1
H1 H 0.000 0.000 0.000 1
# * E: -57.22 eV for the cell shown
# * Fermi-level density of states: 5.49 states/eV/f.u.